(1)
DFT (PBE-GGA) results for a relaxed NaPd4S2 crystal.

Summary:
ΔE_f (raw) ... -0.34 eV per atom
Crystal system ... tetragonal

a = 3.558 Å, b = 8.168 Å, c = 8.168 Å
α = 90.00°, β = 90.00°, γ = 90.00°
Fractional positions:
1 Na 0.500 0.000 0.000
2 Na 0.000 0.500 0.500
3 Pd 0.000 0.088 0.335
4 Pd 0.000 0.912 0.665
5 Pd 0.500 0.165 0.588
6 Pd 0.500 0.835 0.412
7 Pd 0.500 0.412 0.835
8 Pd 0.500 0.588 0.165
9 Pd 0.000 0.335 0.088
10 Pd 0.000 0.665 0.912
11 S 0.000 0.220 0.780
12 S 0.000 0.780 0.220
13 S 0.500 0.720 0.720
14 S 0.500 0.280 0.280

=====

(2)
DFT (PBE-GGA) results for a relaxed Tb2Er3Sc2 crystal.

Summary:
Formation energy ... 0.035 eV per atom
Crystal system ... orthorhombic

a = 5.157 Å, b = 3.433 Å, c = 11.866 Å
α = 90.00°, β = 77.45°, γ = 90.00°
Fractional positions:
1 Tb 0.575 0.500 0.849
2 Tb 0.425 0.500 0.151
3 Er 0.844 0.000 0.313
4 Er 0.000 0.000 0.000
5 Er 0.156 0.000 0.687
6 Sc 0.716 0.500 0.567
7 Sc 0.284 0.500 0.433

=====

(3)
DFT (PBE-GGA) results for a relaxed HfInAu crystal.

Summary:
Formation energy ... -0.294 eV per atom
Crystal system ... tetragonal

a = 3.214 Å, b = 3.214 Å, c = 6.386 Å
α = 104.58°, β = 104.58°, γ = 90.00°
Fractional positions:
1 Au 0.277 0.277 0.554
2 Hf 0.626 0.626 0.252
3 In 0.947 0.947 0.894

=====

(4)
DFT (PBE-GGA) results for a relaxed La3TiNb crystal.

Summary:
Formation energy ... 0.813 eV per atom
Crystal system ... cubic
Offset from the most stable computed form ... 0.0 kJ/mol of atoms

a = 5.540 Å, b = 5.540 Å, c = 5.540 Å
α = 90.00°, β = 90.00°, γ = 90.00°
Fractional positions:
1 Nb 0.000 0.000 0.000
2 Ti 0.500 0.500 0.500
3 La 0.000 0.500 0.000
4 La 0.000 0.000 0.500
5 La 0.500 0.000 0.000

=====

(5)
DFT (PBE-GGA) results for a relaxed Sm3DySc2Se6 crystal.

Summary:
ΔE_f (raw) ... -1.72 eV per atom
Crystal system ... monoclinic

a = 6.995 Å, b = 6.995 Å, c = 7.110 Å
α = 99.43°, β = 99.43°, γ = 120.24°
Fractional positions:
1 Sm 0.161 0.839 0.500
2 Sm 0.839 0.161 0.500
3 Sm 0.500 0.500 0.500
4 Dy 0.000 0.000 0.000
5 Sc 0.334 0.666 0.000
6 Sc 0.666 0.334 0.000
7 Se 0.923 0.580 0.768
8 Se 0.733 0.733 0.228
9 Se 0.077 0.420 0.232
10 Se 0.580 0.923 0.768
11 Se 0.267 0.267 0.772
12 Se 0.420 0.077 0.232

=====

(6)
DFT (PBE-GGA) results for a relaxed NdHo3Ni2 crystal.

Summary:
Formation energy ... -0.271 eV per atom
Crystal system ... monoclinic
Offset from the most stable computed form ... 0.0 kJ/mol of atoms

a = 3.907 Å, b = 8.280 Å, c = 9.892 Å
α = 77.80°, β = 78.61°, γ = 76.35°
Fractional positions:
1 Nd 0.850 0.557 0.744
2 Nd 0.150 0.443 0.256
3 Ho 0.154 0.939 0.752
4 Ho 0.846 0.061 0.248
5 Ho 0.418 0.219 0.945
6 Ho 0.582 0.781 0.055
7 Ho 0.584 0.269 0.562
8 Ho 0.416 0.731 0.438
9 Ni 0.231 0.588 0.950
10 Ni 0.769 0.412 0.050
11 Ni 0.768 0.916 0.548
12 Ni 0.232 0.084 0.452